No. 1
## Ce2EuTc (PBE-GGA)

Data for an optimized crystal structure of Ce2EuTc.

Cell and atoms, written as extended XYZ:
```
4
Lattice="-0.398 -2.741 2.843 3.220 -1.574 1.704 0.810 5.167 7.866" Properties=species:S:1:pos:R:3 pbc="T T T"
Ce 2.712 1.206 9.856
Eu 1.816 0.426 6.207
Ce 0.919 -0.355 2.557
Tc 0.000 0.000 0.000
```

Results
- Crystal system: trigonal
- N(E_F): 1.7999 states/eV/atom
- Polymorph energy (0 for the lowest one): 0.0482 eV/atom
- Total magnetic moment: 8.46 μB per formula unit
- Symmetry: R-3m
- Formation energy from the elements: 9.98 kJ per mole of atoms


No. 2
## Ce3EuTc (PBE-GGA)

Data for an optimized crystal structure of Ce3EuTc.

Cell and atoms, written as extended XYZ:
```
5
Lattice="-0.165 1.935 -5.071 0.023 -5.073 -1.937 -5.427 -0.081 0.146" Properties=species:S:1:pos:R:3 pbc="T T T"
Ce 0.012 -2.536 -0.968
Ce -0.083 0.968 -2.535
Tc 0.000 0.000 0.000
Eu -2.785 -1.609 -3.431
Ce -2.714 -0.040 0.073
```

Results
- Crystal system: cubic
- N(E_F): 3.2691 states/eV/atom
- Total magnetic moment: 5.65 μB per formula unit
- Symmetry: Pm-3m
- Formation energy from the elements: 10.15 kJ per mole of atoms


No. 3
## Ce2EuTc (PBE-GGA)

Data for an optimized crystal structure of Ce2EuTc.

Cell and atoms, written as extended XYZ:
```
4
Lattice="-2.722 -0.655 -2.023 -0.279 -3.148 1.395 -5.695 3.413 6.561" Properties=species:S:1:pos:R:3 pbc="T T T"
Eu -4.349 -0.195 2.966
Tc -1.501 -1.901 -0.314
Ce -1.035 0.620 1.193
Ce -4.660 2.792 5.368
```

Results
- Crystal system: tetragonal
- N(E_F): 2.2862 states/eV/atom
- Polymorph energy (0 for the lowest one): 0.0000 eV/atom
- Total magnetic moment: 9.41 μB per formula unit
- Symmetry: P4/mmm
- Formation energy from the elements: 5.33 kJ per mole of atoms


No. 4
## CeEuTe (PBE-GGA)

Data for an optimized crystal structure of CeEuTe.

Cell and atoms, written as extended XYZ:
```
3
Lattice="4.468 0.000 0.000 0.000 5.155 0.000 0.000 -2.578 4.464" Properties=species:S:1:pos:R:3 pbc="T T T"
Te 1.459 0.000 2.976
Eu 2.670 2.578 1.488
Ce 0.339 0.000 0.000
```

Results
- Crystal system: trigonal
- N(E_F): 3.0443 states/eV/atom
- Total magnetic moment: 9.38 μB per formula unit
- Symmetry: P3m1
- Uncorrected formation energy: -0.5275 eV/atom


No. 5
## Ce2EuTh (PBE-GGA)

Data for an optimized crystal structure of Ce2EuTh.

Cell and atoms, written as extended XYZ:
```
4
Lattice="5.687 0.000 0.000 2.844 4.925 0.000 2.844 1.642 4.644" Properties=species:S:1:pos:R:3 pbc="T T T"
Ce 2.844 1.642 1.161
Th 0.000 0.000 0.000
Eu 5.687 3.284 2.322
Ce 8.531 4.925 3.483
```

Results
- Crystal system: cubic
- N(E_F): 4.0883 states/eV/atom
- Polymorph energy (0 for the lowest one): 0.1391 eV/atom
- Total magnetic moment: 10.51 μB per formula unit
- Symmetry: Fm-3m
- Formation energy from the elements: 31.95 kJ per mole of atoms


No. 6
## CeEu2Th (PBE-GGA)

Data for an optimized crystal structure of CeEu2Th.

Cell and atoms, written as extended XYZ:
```
4
Lattice="-1.623 2.979 -0.828 -2.038 1.589 2.348 9.021 8.299 4.807" Properties=species:S:1:pos:R:3 pbc="T T T"
Eu -0.942 6.367 2.662
Th 0.000 0.000 0.000
Ce 2.680 6.433 3.164
Eu 6.302 6.500 3.666
```

Results
- Crystal system: trigonal
- N(E_F): 2.0279 states/eV/atom
- Total magnetic moment: 14.29 μB per formula unit
- Symmetry: R-3m
- Formation energy from the elements: 30.05 kJ per mole of atoms


No. 7
## Ce2EuTh (PBE-GGA)

Data for an optimized crystal structure of Ce2EuTh.

Cell and atoms, written as extended XYZ:
```
4
Lattice="-2.773 -2.614 -3.232 2.409 -4.142 1.282 -3.349 -0.847 3.559" Properties=species:S:1:pos:R:3 pbc="T T T"
Eu -1.387 -1.307 -1.616
Th -1.857 -3.801 0.804
Ce 1.205 -2.071 0.641
Ce -1.675 -0.424 1.779
```

Results
- Crystal system: tetragonal
- N(E_F): 2.3861 states/eV/atom
- Polymorph energy (0 for the lowest one): 0.0000 eV/atom
- Total magnetic moment: 5.36 μB per formula unit
- Symmetry: P4/mmm
- Formation energy from the elements: 18.52 kJ per mole of atoms


No. 8
## CeEuYTh (PBE-GGA)

Data for an optimized crystal structure of CeEuYTh.

Cell and atoms, written as extended XYZ:
```
4
Lattice="5.746 0.000 0.000 2.873 4.976 0.000 2.873 1.659 4.692" Properties=species:S:1:pos:R:3 pbc="T T T"
Y 5.746 3.317 2.346
Eu 8.619 4.976 3.519
Ce 2.873 1.659 1.173
Th 0.000 0.000 0.000
```

Results
- Crystal system: cubic
- N(E_F): 3.5378 states/eV/atom
- Total magnetic moment: 4.76 μB per formula unit
- Symmetry: F-43m
- Formation energy from the elements: 32.33 kJ per mole of atoms